This record from the Alexandria database describes an optimized crystal structure of TlH2RuF8. The functional is GGA-PBE.

Unit cell a=4.994 b=5.065 c=7.925 alpha=99.33 beta=90.36 gamma=111.03
Space group P-1 (No. 2)
Unique sites:
Tl1 0.000 0.000 0.000 x1
H1 0.450 0.682 0.207 x2
Ru1 0.000 0.000 0.500 x1
F1 0.223 0.769 0.490 x2
F2 0.229 0.203 0.338 x2
F3 0.249 0.260 0.691 x2
F4 0.321 0.654 0.108 x2

Properties
**Electronic total energy**: -54.06 eV for the cell shown
**Spin magnetization**: 3.000 μB/cell



This record from the Alexandria database describes an optimized crystal structure of LaTbCuAu. The functional is GGA-PBE.

Unit cell a=4.613 b=3.864 c=11.232 alpha=90.00 beta=90.00 gamma=90.00
Space group Amm2 (No. 38)
Unique sites:
La1 0.000 0.000 0.000 x2
Tb1 0.500 0.000 0.276 x2
Cu1 0.500 0.000 0.564 x2
Au1 0.000 0.000 0.720 x2

Properties
**Energy above the most stable polymorph in this dataset**: 0 meV/atom
**Electronic total energy**: -37.94 eV for the cell shown
**E_form**: -0.51 eV per atom
**Spin magnetization**: 0.000 μB/cell



This record from the Alexandria database describes an optimized crystal structure of Nd5DyPb4. The functional is GGA-PBE.

Unit cell a=16.829 b=5.498 c=7.352 alpha=90.00 beta=90.62 gamma=90.00
Space group C2/m (No. 12)
Unique sites:
Nd1 0.000 0.000 0.000 x2
Nd2 0.166 0.500 0.996 x4
Nd3 0.167 0.500 0.507 x4
Dy1 0.000 0.000 0.500 x2
Pb1 0.008 0.500 0.255 x4
Pb2 0.174 0.000 0.748 x4

Properties
**Electronic total energy**: -94.06 eV for the cell shown
**E_form**: -0.38 eV per atom
**Spin magnetization**: 0.001 μB/cell



This record from the Alexandria database describes an optimized crystal structure of Tm11Ga9Pt4. The functional is GGA-PBE.

Unit cell a=13.873 b=20.993 c=3.539 alpha=90.00 beta=90.00 gamma=90.00
Space group Cmmm (No. 65)
Unique sites:
Tm1 0.000 0.000 0.000 x2
Tm2 0.000 0.164 0.000 x4
Tm3 0.000 0.370 0.000 x4
Tm4 0.202 0.500 0.000 x4
Tm5 0.237 0.173 0.000 x8
Ga1 0.000 0.500 0.500 x2
Ga2 0.103 0.264 0.500 x8
Ga3 0.140 0.073 0.500 x8
Pt1 0.156 0.398 0.500 x8

Properties
**Electronic total energy**: -241.31 eV for the cell shown
**E_form**: -0.84 eV per atom
**Spin magnetization**: 0.000 μB/cell



This record from the Alexandria database describes an optimized crystal structure of BCl2F. The functional is GGA-PBE.

Unit cell a=4.1065 b=4.1065 c=18.5925 alpha=90.00 beta=90.00 gamma=120.00
Space group R-3m (No. 166, hexagonal axes)
Unique sites:
B1 0.0000 0.0000 0.0000 x3
Cl1 0.0000 0.0000 0.0865 x6
F1 0.0000 0.0000 0.5000 x3

Properties
**Uncorrected formation energy**: -0.486 eV/atom
**Energy above the most stable polymorph in this dataset**: 1082 meV/atom
**Electronic total energy**: -42.56 eV for the cell shown
**Spin magnetization**: 0.000 μB/cell



This record from the Alexandria database describes an optimized crystal structure of KLiB. The functional is GGA-PBE.

Unit cell a=4.206 b=4.206 c=10.646 alpha=79.76 beta=79.54 gamma=60.06
Space group P-1 (No. 2)
Unique sites:
K1 0.247 0.252 0.279 x2
Li1 0.343 0.343 0.968 x2
B1 0.023 0.021 0.927 x2

Properties
**Energy above the most stable polymorph in this dataset**: 4 meV/atom
**Electronic total energy**: -17.40 eV for the cell shown
**E_form**: 0.33 eV per atom
**Spin magnetization**: 0.491 μB/cell